Entry 1:
GGA-PBE TbPaSe2, relaxed; relative energy among the computed polymorphs = 0.5570 eV per atom; total magnetic moment = 2.08 μB per formula unit; formation energy (no corrections) = -0.930 eV/atom; raw total energy = -24.8 eV/cell
1.0
1.964 1.134 9.071
-1.964 1.134 9.071
0.000 -2.268 9.071
Tb Pa Se
1 1 2
Direct
0.000 0.000 0.000
0.500 0.500 0.500
0.396 0.396 0.396
0.604 0.604 0.604

Entry 2:
GGA-PBE TbPaSe2, relaxed; relative energy among the computed polymorphs = 0.2533 eV per atom; total magnetic moment = 1.30 μB per formula unit; formation energy (no corrections) = -1.234 eV/atom; raw total energy = -26.0 eV/cell
1.0
5.005 0.000 0.000
0.000 5.005 0.000
0.000 0.000 3.558
Tb Pa Se
1 1 2
Direct
0.000 0.000 0.000
0.500 0.500 0.000
0.000 0.500 0.500
0.500 0.000 0.500

Entry 3:
GGA-PBE TbPaSe2, relaxed; relative energy among the computed polymorphs = 0.1418 eV per atom; total magnetic moment = 0.98 μB per formula unit; formation energy (no corrections) = -1.346 eV/atom; raw total energy = -53.0 eV/cell
1.0
7.864 0.000 0.000
0.000 3.749 0.000
0.000 0.000 6.607
Tb Pa Se
2 2 4
Direct
0.000 0.000 0.000
0.500 0.000 0.000
0.000 0.500 0.500
0.500 0.500 0.500
0.250 0.000 0.332
0.250 0.500 0.831
0.750 0.000 0.668
0.750 0.500 0.169

Entry 4:
GGA-PBE TbPa2Se3, relaxed; total magnetic moment = 0.79 μB per formula unit; formation energy (no corrections) = -1.387 eV/atom; raw total energy = -169.6 eV/cell
1.0
5.756 0.000 0.000
0.000 12.368 0.000
-0.005 0.000 8.052
Tb Pa Se
4 8 12
Direct
0.250 0.084 0.129
0.250 0.416 0.629
0.750 0.584 0.371
0.750 0.916 0.871
0.250 0.083 0.621
0.250 0.417 0.121
0.251 0.750 0.124
0.251 0.750 0.624
0.749 0.250 0.376
0.749 0.250 0.876
0.750 0.583 0.879
0.750 0.917 0.379
0.249 0.248 0.875
0.249 0.252 0.375
0.250 0.581 0.376
0.250 0.583 0.872
0.250 0.917 0.372
0.250 0.919 0.876
0.750 0.081 0.124
0.750 0.083 0.628
0.750 0.417 0.128
0.750 0.419 0.624
0.751 0.748 0.625
0.751 0.752 0.125

Entry 5:
GGA-PBE Tb2PaSe4, relaxed; total magnetic moment = 1.56 μB per formula unit; formation energy (no corrections) = -1.596 eV/atom; raw total energy = -87.7 eV/cell
1.0
1.993 -6.797 0.000
1.993 6.797 0.000
0.000 0.000 13.661
Tb Pa Se
4 2 8
Direct
0.135 0.865 0.567
0.135 0.865 0.933
0.865 0.135 0.067
0.865 0.135 0.433
0.376 0.624 0.750
0.624 0.376 0.250
0.032 0.968 0.750
0.225 0.775 0.126
0.225 0.775 0.374
0.500 0.500 0.000
0.500 0.500 0.500
0.775 0.225 0.626
0.775 0.225 0.874
0.968 0.032 0.250

Entry 6:
GGA-PBE Tb3PaSe6, relaxed; relative energy among the computed polymorphs = 0.0000 eV per atom; total magnetic moment = 1.49 μB per formula unit; formation energy (no corrections) = -1.724 eV/atom; raw total energy = -123.1 eV/cell
1.0
11.573 0.000 0.000
0.000 4.076 0.000
-3.700 0.000 11.279
Tb Pa Se
6 2 12
Direct
0.074 0.250 0.165
0.179 0.750 0.501
0.342 0.250 0.921
0.658 0.750 0.079
0.821 0.250 0.499
0.926 0.750 0.835
0.455 0.250 0.304
0.545 0.750 0.696
0.018 0.250 0.382
0.102 0.250 0.932
0.250 0.750 0.279
0.309 0.750 0.749
0.388 0.250 0.536
0.417 0.750 0.101
0.583 0.250 0.899
0.612 0.750 0.464
0.691 0.250 0.251
0.750 0.250 0.721
0.898 0.750 0.068
0.982 0.750 0.618

Entry 7:
GGA-PBE Tb4PaSe5, relaxed; total magnetic moment = 0.82 μB per formula unit; formation energy (no corrections) = -1.657 eV/atom; raw total energy = -62.0 eV/cell
1.0
2.018 1.165 17.144
-2.018 1.165 17.144
0.000 -2.331 17.144
Tb Pa Se
4 1 5
Direct
0.101 0.101 0.101
0.301 0.301 0.301
0.699 0.699 0.699
0.899 0.899 0.899
0.500 0.500 0.500
0.000 0.000 0.000
0.201 0.201 0.201
0.400 0.400 0.400
0.600 0.600 0.600
0.799 0.799 0.799

Entry 8:
GGA-PBE TbPaSe2, relaxed; relative energy among the computed polymorphs = 0.0000 eV per atom; total magnetic moment = 0.40 μB per formula unit; formation energy (no corrections) = -1.487 eV/atom; raw total energy = -81.1 eV/cell
1.0
4.024 0.000 0.000
-2.012 3.485 0.000
0.000 0.000 20.536
Tb Pa Se
3 3 6
Direct
0.000 0.000 0.000
0.333 0.667 0.168
0.667 0.333 0.832
0.000 0.000 0.500
0.333 0.667 0.664
0.667 0.333 0.336
0.000 0.000 0.250
0.000 0.000 0.750
0.333 0.667 0.418
0.333 0.667 0.917
0.667 0.333 0.083
0.667 0.333 0.582

Entry 9:
GGA-PBE TbPa4Se7, relaxed; total magnetic moment = 2.23 μB per formula unit; formation energy (no corrections) = -1.376 eV/atom; raw total energy = -83.5 eV/cell
1.0
4.080 0.000 0.000
-2.040 3.533 0.000
0.000 0.000 23.753
Tb Pa Se
1 4 7
Direct
0.000 0.000 0.000
0.333 0.667 0.142
0.333 0.667 0.432
0.667 0.333 0.568
0.667 0.333 0.858
0.000 0.000 0.210
0.000 0.000 0.500
0.000 0.000 0.790
0.333 0.667 0.636
0.333 0.667 0.930
0.667 0.333 0.070
0.667 0.333 0.364

Entry 10:
GGA-PBE TbPaSe2, relaxed; relative energy among the computed polymorphs = 0.0796 eV per atom; total magnetic moment = 0.03 μB per formula unit; formation energy (no corrections) = -1.408 eV/atom; raw total energy = -26.7 eV/cell
1.0
1.899 1.097 7.685
-1.899 1.097 7.685
0.000 -2.193 7.685
Tb Pa Se
1 1 2
Direct
0.000 0.000 0.000
0.170 0.170 0.170
0.587 0.587 0.587
0.751 0.751 0.751

Entry 11:
GGA-PBE Tb3Pa2Se6, relaxed; total magnetic moment = 1.11 μB per formula unit; formation energy (no corrections) = -1.551 eV/atom; raw total energy = -70.8 eV/cell
1.0
2.038 1.177 20.376
-2.038 1.177 20.376
0.000 -2.353 20.376
Tb Pa Se
3 2 6
Direct
0.000 0.000 0.000
0.277 0.277 0.277
0.723 0.723 0.723
0.443 0.443 0.443
0.557 0.557 0.557
0.082 0.082 0.082
0.197 0.197 0.197
0.361 0.361 0.361
0.639 0.639 0.639
0.803 0.803 0.803
0.918 0.918 0.918

Entry 12:
GGA-PBE TbPaTe2Se, relaxed; total magnetic moment = 1.00 μB per formula unit; formation energy (no corrections) = -1.152 eV/atom; raw total energy = -59.3 eV/cell
1.0
4.369 0.000 0.000
0.000 4.369 0.000
0.000 0.000 14.847
Tb Pa Te Se
2 2 4 2
Direct
0.250 0.250 0.085
0.750 0.750 0.915
0.250 0.250 0.630
0.750 0.750 0.370
0.250 0.250 0.296
0.250 0.250 0.875
0.750 0.750 0.125
0.750 0.750 0.704
0.250 0.750 0.500
0.750 0.250 0.500

Entry 13:
GGA-PBE Tb3PaTl3Se8, relaxed; total magnetic moment = 1.05 μB per formula unit; formation energy (no corrections) = -1.383 eV/atom; raw total energy = -79.1 eV/cell
1.0
4.188 2.418 7.831
-4.188 2.418 7.831
0.000 -4.836 7.831
Tb Pa Tl Se
3 1 3 8
Direct
0.000 0.500 0.500
0.500 0.000 0.500
0.500 0.500 0.000
0.000 0.000 0.000
0.000 0.000 0.500
0.000 0.500 0.000
0.500 0.000 0.000
0.233 0.233 0.737
0.233 0.737 0.233
0.263 0.767 0.767
0.265 0.265 0.265
0.735 0.735 0.735
0.737 0.233 0.233
0.767 0.263 0.767
0.767 0.767 0.263

Entry 14:
GGA-PBE Tb2PaTl3Se6, relaxed; total magnetic moment = 2.07 μB per formula unit; formation energy (no corrections) = -1.224 eV/atom; raw total energy = -61.4 eV/cell
1.0
3.620 -6.269 0.000
3.620 6.269 0.000
-2.410 0.000 7.882
Tb Pa Tl Se
2 1 3 6
Direct
0.166 0.834 0.000
0.834 0.166 0.000
0.500 0.500 0.000
0.000 0.000 0.500
0.332 0.668 0.500
0.668 0.332 0.500
0.101 0.432 0.795
0.238 0.238 0.206
0.432 0.101 0.795
0.568 0.899 0.205
0.762 0.762 0.794
0.899 0.568 0.205

Entry 15:
GGA-PBE TbTm2PaSe4, relaxed; total magnetic moment = 0.33 μB per formula unit; formation energy (no corrections) = -1.559 eV/atom; raw total energy = -49.5 eV/cell
1.0
6.975 0.000 0.000
0.000 3.981 0.000
-2.270 0.000 6.751
Tb Tm Pa Se
1 2 1 4
Direct
0.000 0.000 0.000
0.000 0.500 0.500
0.500 0.000 0.500
0.500 0.500 0.000
0.246 0.000 0.741
0.252 0.500 0.258
0.748 0.500 0.742
0.754 0.000 0.259

Entry 16:
GGA-PBE Tb2YPaSe4, relaxed; total magnetic moment = 0.52 μB per formula unit; formation energy (no corrections) = -1.612 eV/atom; raw total energy = -52.1 eV/cell
1.0
7.083 0.000 0.000
0.000 4.047 0.000
-2.309 0.000 6.725
Tb Y Pa Se
2 1 1 4
Direct
0.000 0.000 0.000
0.000 0.500 0.500
0.500 0.000 0.500
0.500 0.500 0.000
0.249 0.000 0.748
0.250 0.500 0.251
0.750 0.500 0.749
0.751 0.000 0.252

Entry 17:
GGA-PBE Pa5TcSe4, relaxed; total magnetic moment = 0.00 μB per formula unit; formation energy (no corrections) = -1.004 eV/atom; raw total energy = -81.8 eV/cell
1.0
-4.540 4.540 2.882
4.540 -4.540 2.882
4.540 4.540 -2.882
Pa Tc Se
5 1 4
Direct
0.000 0.000 0.000
0.218 0.599 0.817
0.401 0.218 0.619
0.599 0.782 0.381
0.782 0.401 0.183
0.500 0.500 0.000
0.092 0.306 0.398
0.306 0.908 0.214
0.694 0.092 0.786
0.908 0.694 0.602

Entry 18:
GGA-PBE Pa6TcSe5, relaxed; total magnetic moment = 0.00 μB per formula unit; formation energy (no corrections) = -1.033 eV/atom; raw total energy = -97.2 eV/cell
1.0
3.549 -6.103 0.000
3.549 6.103 0.000
-2.366 0.000 6.617
Pa Tc Se
6 1 5
Direct
0.078 0.395 0.737
0.235 0.235 0.253
0.395 0.078 0.737
0.605 0.922 0.263
0.765 0.765 0.747
0.922 0.605 0.263
0.000 0.000 0.500
0.176 0.824 0.000
0.335 0.665 0.500
0.500 0.500 0.000
0.665 0.335 0.500
0.824 0.176 0.000

Entry 19:
GGA-PBE Pa3TcSe6, relaxed; total magnetic moment = 4.07 μB per formula unit; formation energy (no corrections) = -0.932 eV/atom; raw total energy = -138.2 eV/cell
1.0
5.613 3.241 4.782
-5.613 3.241 4.782
0.000 -6.481 4.782
Pa Tc Se
6 2 12
Direct
0.085 0.231 0.590
0.231 0.590 0.085
0.410 0.915 0.769
0.590 0.085 0.231
0.769 0.410 0.915
0.915 0.769 0.410
0.000 0.000 0.000
0.500 0.500 0.500
0.066 0.888 0.704
0.112 0.296 0.934
0.195 0.546 0.436
0.296 0.934 0.112
0.436 0.195 0.546
0.454 0.564 0.805
0.546 0.436 0.195
0.564 0.805 0.454
0.704 0.066 0.888
0.805 0.454 0.564
0.888 0.704 0.066
0.934 0.112 0.296

Entry 20:
GGA-PBE Pa6TcSe12, relaxed; total magnetic moment = 7.09 μB per formula unit; formation energy (no corrections) = -1.120 eV/atom; raw total energy = -130.4 eV/cell
1.0
6.113 3.530 3.861
-6.113 3.530 3.861
0.000 -7.059 3.861
Pa Tc Se
6 1 12
Direct
0.127 0.291 0.641
0.291 0.641 0.127
0.359 0.873 0.709
0.641 0.127 0.291
0.709 0.359 0.873
0.873 0.709 0.359
0.000 0.000 0.000
0.012 0.932 0.683
0.068 0.317 0.988
0.181 0.571 0.434
0.317 0.988 0.068
0.429 0.566 0.819
0.434 0.181 0.571
0.566 0.819 0.429
0.571 0.434 0.181
0.683 0.012 0.932
0.819 0.429 0.566
0.932 0.683 0.012
0.988 0.068 0.317

Entry 21:
GGA-PBE PaTcSe, relaxed; relative energy among the computed polymorphs = 0.3093 eV per atom; total magnetic moment = 0.00 μB per formula unit; formation energy (no corrections) = -0.320 eV/atom; raw total energy = -24.3 eV/cell
1.0
-1.858 1.858 4.734
1.858 -1.858 4.734
1.858 1.858 -4.734
Pa Tc Se
1 1 1
Direct
0.000 0.000 0.000
0.583 0.583 0.000
0.313 0.313 0.000